## Tb8Tm2Th (PBE)

Data for an optimized crystal structure of Tb8Tm2Th.

Unit cell a=10.1861 b=13.2521 c=5.3656 alpha=90.00 beta=90.13 gamma=90.00
Last column: nearest neighbours and their distance in Å.
Space group C2/m (No. 12)
Symmetry-distinct sites (fractional):
Tb  0.0000  0.2466  0.0000  2 Tm 3.16, 1 Th 3.36
Tb  0.1654  0.0000  0.9997  7 Tb 3.37-3.68, 1 Th 3.41, 4 Tm 3.54-3.55
Tb  0.1650  0.3675  0.5008  7 Tb 3.36-3.65, 2 Tm 3.42-3.68, 2 Th 3.62
Tm  0.0000  0.1203  0.5000  4 Tb 3.16-3.42, 1 Tm 3.19
Th  0.0000  0.5000  0.0000  12 Tb 3.36-3.62

Output
Energy of formation (meV per atom): 177

=====

## Li2H4PdRh (PBE)

Data for an optimized crystal structure of Li2H4PdRh.

Unit cell a=4.7719 b=2.9171 c=5.2813 alpha=90.00 beta=113.96 gamma=90.00
Last column: nearest neighbours and their distance in Å.
Space group P2/m (No. 10)
Symmetry-distinct sites (fractional):
Li  0.0000  0.0000  0.0000  6 H 2.04-2.13
Li  0.0000  0.5000  0.5000  6 H 2.19-2.43
H  0.2891  0.0000  0.8034  2 Rh 1.84, 1 Li 2.04
H  0.3226  0.5000  0.2422  1 Rh 1.80, 2 Pd 1.94
Pd  0.5000  0.0000  0.5000  4 H 1.94
Rh  0.5000  0.5000  0.0000  6 H 1.80-1.84

Output
DFT total energy (eV per cell): -32.28

=====

## Hf5Co4Re (PBE)

Data for an optimized crystal structure of Hf5Co4Re.

Unit cell a=3.1985 b=3.1985 c=15.7782 alpha=90.00 beta=90.00 gamma=90.00
Last column: nearest neighbours and their distance in Å.
Space group P4/mmm (No. 123)
Symmetry-distinct sites (fractional):
Hf  0.0000  0.0000  0.0000  8 Co 2.75
Hf  0.0000  0.0000  0.1983  8 Co 2.72-2.75
Hf  0.0000  0.0000  0.3968  4 Co 2.79, 4 Re 2.79
Co  0.5000  0.5000  0.0996  8 Hf 2.75, 1 Co 3.06
Co  0.5000  0.5000  0.2938  8 Hf 2.72-2.79
Re  0.5000  0.5000  0.5000  8 Hf 2.79

Output
Energy of formation (meV per atom): -395

=====

## BaSiO4 (PBE)

Data for an optimized crystal structure of BaSiO4.

Unit cell a=4.1376 b=4.2605 c=6.2463 alpha=76.22 beta=71.36 gamma=65.05
Last column: nearest neighbours and their distance in Å.
Space group P-1 (No. 2)
Symmetry-distinct sites (fractional):
Ba  0.0000  0.0000  0.0000  8 O 2.70-2.93
Si  0.5000  0.5000  0.5000  4 O 1.63-1.79
O  0.0727  0.8497  0.5867  1 O 1.51
O  0.4409  0.3696  0.7728  1 Si 1.63

Output
DFT total energy (eV per cell): -39.06

=====

## Pm3Y4S8 (PBE)

Data for an optimized crystal structure of Pm3Y4S8.

Unit cell a=11.2140 b=11.2194 c=7.9155 alpha=90.00 beta=134.85 gamma=90.00
Last column: nearest neighbours and their distance in Å.
Space group C2/m (No. 12)
Symmetry-distinct sites (fractional):
Pm  0.0000  0.0000  0.0000  6 S 2.84
Pm  0.2500  0.2500  0.0000  6 S 2.80-2.81
Y  0.0000  0.5000  0.0000  6 S 2.76-2.77
Y  0.0000  0.5000  0.5000  6 S 2.78
Y  0.2500  0.2500  0.5000  6 S 2.80-2.81
S  0.0000  0.2523  0.5000  3 Y 2.78-2.80, 2 Pm 2.81
S  0.0000  0.2534  0.0000  3 Y 2.77-2.81, 3 Pm 2.80-2.84
S  0.2438  0.5000  0.9946  2 Y 2.76-2.78, 3 Pm 2.81-2.84
S  0.2448  0.5000  0.4933  4 Y 2.77-2.81, 1 Pm 2.84

Output
DFT total energy (eV per cell): -207.88

=====

## Tb7Sm12Er (PBE)

Data for an optimized crystal structure of Tb7Sm12Er.

Unit cell a=19.5856 b=19.5856 c=6.1840 alpha=90.00 beta=90.00 gamma=120.00
Last column: nearest neighbours and their distance in Å.
Space group R-3 (No. 148, hexagonal axes)
Symmetry-distinct sites (fractional):
Tb  0.0000  0.0000  0.0000  2 Er 3.09, 6 Tb 3.31
Tb  0.0813  0.9177  0.2922  1 Er 3.06, 1 Tb 3.31, 4 Sm 3.32-3.35
Sm  0.0004  0.4133  0.0002  2 Tb 3.35, 5 Sm 3.40-3.71
Sm  0.0972  0.5491  0.4609  4 Tb 3.32-3.60, 3 Sm 3.33-3.71
Er  0.0000  0.0000  0.5000  8 Tb 3.06-3.09

Output
Energy of formation (meV per atom): 247

=====

## Si2NiHg (PBE)

Data for an optimized crystal structure of Si2NiHg.

Unit cell a=3.5995 b=3.3960 c=5.9242 alpha=90.00 beta=107.06 gamma=90.00
Last column: nearest neighbours and their distance in Å.
Space group Pm (No. 6)
Symmetry-distinct sites (fractional):
Si  0.0000  0.0000  0.0000  2 Ni 2.30, 4 Si 2.48-2.49
Si  0.4817  0.5000  0.9609  2 Ni 2.37, 4 Si 2.48-2.49, 1 Hg 2.64
Ni  0.6219  0.0000  0.2527  4 Si 2.30-2.37
Hg  0.2396  0.5000  0.4945  1 Si 2.64, 4 Ni 2.83

Output
DFT total energy (eV per cell): -16.26

=====

## Zr2ZnCl2 (PBE)

Data for an optimized crystal structure of Zr2ZnCl2.

Unit cell a=4.1085 b=4.1085 c=14.7328 alpha=90.00 beta=90.00 gamma=90.00
Last column: nearest neighbours and their distance in Å.
Space group I4/mmm (No. 139)
Symmetry-distinct sites (fractional):
Zr  0.0000  0.5000  0.2500  4 Cl 2.72, 4 Zr 2.91
Zn  0.0000  0.0000  0.0000  8 Cl 3.47
Cl  0.0000  0.0000  0.3712  4 Zr 2.72

Output
DFT total energy (eV per cell): -47.65